--- A ---
VASP calculation (GGA-PBE) on a relaxed structure of PuPa2.

Calculated values
As for the magnetization: 1.47 μB per atom. The calculated density comes out at 16.06 g cm⁻³.

Geometry as POSCAR:
```
PuPa2
1.0
10.478 0.000 0.000
0.000 4.509 0.000
-2.296 0.000 6.180
Pu Pa
4 8
direct
0.166 0.000 0.334 Pu
0.334 0.500 0.666 Pu
0.666 0.500 0.334 Pu
0.834 0.000 0.666 Pu
0.000 0.500 0.000 Pa
0.000 0.500 0.500 Pa
0.167 0.000 0.830 Pa
0.333 0.500 0.170 Pa
0.500 0.000 0.000 Pa
0.500 0.000 0.500 Pa
0.667 0.500 0.830 Pa
0.833 0.000 0.170 Pa
```


--- B ---
VASP calculation (GGA-PBE) on a relaxed structure of PuPa2.

Calculated values
As for the magnetization: 0.00 μB per atom. The calculated density comes out at 16.94 g cm⁻³.

Geometry as POSCAR:
```
PuPa2
1.0
3.699 0.000 0.000
0.000 12.285 0.000
0.000 0.000 6.094
Pu Pa
4 8
direct
0.000 0.000 0.000 Pu
0.000 0.500 0.500 Pu
0.500 0.000 0.500 Pu
0.500 0.500 0.000 Pu
0.000 0.132 0.333 Pa
0.000 0.368 0.833 Pa
0.000 0.632 0.833 Pa
0.000 0.868 0.333 Pa
0.500 0.132 0.833 Pa
0.500 0.368 0.333 Pa
0.500 0.632 0.333 Pa
0.500 0.868 0.833 Pa
```


The least stable of them is B.


--- A ---
VASP calculation (GGA-PBE) on a relaxed structure of Pu2Pa.

Calculated values
As for the magnetization: 2.01 μB per atom. The calculated density comes out at 19.02 g cm⁻³.

Geometry as POSCAR:
```
Pu2Pa
1.0
0.000 3.974 3.974
3.974 0.000 3.974
3.974 3.974 0.000
Pu Pa
4 2
direct
0.000 0.000 0.000 Pu
0.000 0.000 0.500 Pu
0.000 0.500 0.000 Pu
0.500 0.000 0.000 Pu
0.375 0.375 0.375 Pa
0.625 0.625 0.625 Pa
```


--- B ---
VASP calculation (GGA-PBE) on a relaxed structure of Pu2Pa.

Calculated values
As for the magnetization: 0.00 μB per atom. The calculated density comes out at 19.72 g cm⁻³.

Geometry as POSCAR:
```
Pu2Pa
1.0
3.213 0.000 0.000
0.000 3.213 0.000
0.000 0.000 11.730
Pu Pa
4 2
direct
0.000 0.000 0.204 Pu
0.000 0.000 0.796 Pu
0.500 0.500 0.296 Pu
0.500 0.500 0.704 Pu
0.000 0.000 0.500 Pa
0.500 0.500 0.000 Pa
```


The least stable of them is B.


--- A ---
VASP calculation (GGA-PBE) on a relaxed structure of Pu3Pa8.

Calculated values
As for the magnetization: 0.00 μB per atom. The calculated density comes out at 16.57 g cm⁻³.

Geometry as POSCAR:
```
Pu3Pa8
1.0
4.522 2.611 3.650
-4.522 2.611 3.650
0.000 -5.221 3.650
Pu Pa
3 8
direct
0.000 0.500 0.500 Pu
0.500 0.000 0.500 Pu
0.500 0.500 0.000 Pu
0.152 0.364 0.844 Pa
0.156 0.848 0.636 Pa
0.351 0.351 0.351 Pa
0.364 0.844 0.152 Pa
0.636 0.156 0.848 Pa
0.649 0.649 0.649 Pa
0.844 0.152 0.364 Pa
0.848 0.636 0.156 Pa
```


--- B ---
VASP calculation (GGA-PBE) on a relaxed structure of Pu3Pa8.

Calculated values
As for the magnetization: 0.44 μB per atom. The calculated density comes out at 16.39 g cm⁻³.

Geometry as POSCAR:
```
Pu3Pa8
1.0
6.083 -1.917 0.000
6.083 1.917 0.000
-5.139 0.000 11.212
Pu Pa
3 8
direct
0.000 0.000 0.000 Pu
0.092 0.092 0.639 Pu
0.908 0.908 0.361 Pu
0.182 0.182 0.274 Pa
0.276 0.276 0.911 Pa
0.368 0.368 0.544 Pa
0.454 0.454 0.181 Pa
0.546 0.546 0.819 Pa
0.632 0.632 0.456 Pa
0.724 0.724 0.089 Pa
0.818 0.818 0.726 Pa
```


The least stable of them is A.


--- A ---
VASP calculation (GGA-PBE) on a relaxed structure of PuPa8.

Calculated values
As for the magnetization: 0.56 μB per atom. The calculated density comes out at 15.82 g cm⁻³.

Geometry as POSCAR:
```
PuPa8
1.0
6.047 -5.851 0.000
6.047 5.851 0.000
-0.847 0.000 3.104
Pu Pa
1 8
direct
0.000 0.000 0.000 Pu
0.000 0.331 0.665 Pa
0.000 0.669 0.335 Pa
0.331 0.000 0.665 Pa
0.333 0.333 0.333 Pa
0.333 0.667 0.000 Pa
0.667 0.333 0.000 Pa
0.667 0.667 0.667 Pa
0.669 0.000 0.335 Pa
```


--- B ---
VASP calculation (GGA-PBE) on a relaxed structure of PuPa8.

Calculated values
As for the magnetization: 0.42 μB per atom. The calculated density comes out at 15.49 g cm⁻³.

Geometry as POSCAR:
```
PuPa8
1.0
-4.906 4.906 2.329
4.906 -4.906 2.329
4.906 4.906 -2.329
Pu Pa
1 8
direct
0.000 0.000 0.000 Pu
0.000 0.333 0.333 Pa
0.000 0.667 0.667 Pa
0.333 0.000 0.333 Pa
0.334 0.334 0.667 Pa
0.334 0.666 0.000 Pa
0.666 0.334 0.000 Pa
0.666 0.666 0.333 Pa
0.667 0.000 0.667 Pa
```


The least stable of them is A.


--- A ---
VASP calculation (GGA-PBE) on a relaxed structure of PuPaRe.

Calculated values
As for the magnetization: 1.70 μB per atom. The calculated density comes out at 18.04 g cm⁻³.

Geometry as POSCAR:
```
PuPaRe
1.0
3.434 0.000 0.000
0.000 3.434 0.000
0.000 0.000 10.318
Pu Pa Re
2 2 2
direct
0.000 0.000 0.000 Pu
0.500 0.500 0.500 Pu
0.000 0.000 0.332 Pa
0.500 0.500 0.832 Pa
0.000 0.000 0.671 Re
0.500 0.500 0.171 Re
```


--- B ---
VASP calculation (GGA-PBE) on a relaxed structure of PuPaRe.

Calculated values
As for the magnetization: 1.89 μB per atom. The calculated density comes out at 15.42 g cm⁻³.

Geometry as POSCAR:
```
PuPaRe
1.0
10.882 0.000 0.000
0.000 5.565 0.000
-1.016 0.000 4.704
Pu Pa Re
4 4 4
direct
0.000 0.240 0.000 Pu
0.000 0.760 0.000 Pu
0.500 0.260 0.000 Pu
0.500 0.740 0.000 Pu
0.167 0.500 0.585 Pa
0.333 0.000 0.415 Pa
0.667 0.000 0.585 Pa
0.833 0.500 0.415 Pa
0.237 0.000 0.859 Re
0.263 0.500 0.141 Re
0.737 0.500 0.859 Re
0.763 0.000 0.141 Re
```


The least stable of them is B.


--- A ---
VASP calculation (GGA-PBE) on a relaxed structure of PuPaRe.

Calculated values
As for the magnetization: 1.56 μB per atom. The calculated density comes out at 17.12 g cm⁻³.

Geometry as POSCAR:
```
PuPaRe
1.0
6.406 0.000 0.000
0.000 6.410 0.000
-1.815 0.000 6.250
Pu Pa Re
4 4 4
direct
0.085 0.000 0.297 Pu
0.415 0.500 0.703 Pu
0.585 0.500 0.297 Pu
0.915 0.000 0.703 Pu
0.083 0.500 0.295 Pa
0.417 0.000 0.705 Pa
0.583 0.000 0.295 Pa
0.917 0.500 0.705 Pa
0.250 0.250 0.000 Re
0.250 0.750 0.000 Re
0.750 0.250 0.000 Re
0.750 0.750 0.000 Re
```


--- B ---
VASP calculation (GGA-PBE) on a relaxed structure of PuPaRe.

Calculated values
As for the magnetization: 1.66 μB per atom. The calculated density comes out at 18.13 g cm⁻³.

Geometry as POSCAR:
```
PuPaRe
1.0
4.691 0.000 0.000
-2.346 4.063 0.000
0.000 0.000 3.177
Pu Pa Re
1 1 1
direct
0.000 0.000 0.000 Pu
0.333 0.667 0.279 Pa
0.667 0.333 0.640 Re
```


The least stable of them is A.


--- A ---
VASP calculation (GGA-PBE) on a relaxed structure of PuPaRe2.

Calculated values
As for the magnetization: 1.04 μB per atom. The calculated density comes out at 17.57 g cm⁻³.

Geometry as POSCAR:
```
PuPaRe2
1.0
4.806 0.000 0.000
0.000 4.806 0.000
0.000 0.000 3.467
Pu Pa Re
1 1 2
direct
0.000 0.000 0.000 Pu
0.500 0.500 0.000 Pa
0.000 0.500 0.500 Re
0.500 0.000 0.500 Re
```


--- B ---
VASP calculation (GGA-PBE) on a relaxed structure of PuPaRe2.

Calculated values
As for the magnetization: 1.04 μB per atom. The calculated density comes out at 17.55 g cm⁻³.

Geometry as POSCAR:
```
PuPaRe2
1.0
6.845 0.000 0.000
0.000 6.845 0.000
0.000 0.000 6.845
Pu Pa Re
4 4 8
direct
0.000 0.000 0.000 Pu
0.000 0.500 0.500 Pu
0.500 0.000 0.500 Pu
0.500 0.500 0.000 Pu
0.000 0.000 0.500 Pa
0.000 0.500 0.000 Pa
0.500 0.000 0.000 Pa
0.500 0.500 0.500 Pa
0.250 0.250 0.250 Re
0.250 0.250 0.750 Re
0.250 0.750 0.250 Re
0.250 0.750 0.750 Re
0.750 0.250 0.250 Re
0.750 0.250 0.750 Re
0.750 0.750 0.250 Re
0.750 0.750 0.750 Re
```


The least stable of them is A.


--- A ---
VASP calculation (GGA-PBE) on a relaxed structure of PuPa2Rh2.

Calculated values
As for the magnetization: 1.06 μB per atom. The calculated density comes out at 14.83 g cm⁻³.

Geometry as POSCAR:
```
PuPa2Rh2
1.0
5.634 -1.733 0.000
5.634 1.733 0.000
-2.222 0.000 10.453
Pu Pa Rh
2 4 4
direct
0.241 0.241 0.240 Pu
0.759 0.759 0.760 Pu
0.365 0.365 0.963 Pa
0.401 0.401 0.622 Pa
0.599 0.599 0.378 Pa
0.635 0.635 0.037 Pa
0.053 0.053 0.837 Rh
0.112 0.112 0.582 Rh
0.888 0.888 0.418 Rh
0.947 0.947 0.163 Rh
```


--- B ---
VASP calculation (GGA-PBE) on a relaxed structure of PuPa2Rh2.

Calculated values
As for the magnetization: 1.32 μB per atom. The calculated density comes out at 13.34 g cm⁻³.

Geometry as POSCAR:
```
PuPa2Rh2
1.0
4.640 -5.932 0.000
4.640 5.932 0.000
-2.494 0.000 4.125
Pu Pa Rh
2 4 4
direct
0.083 0.917 0.750 Pu
0.917 0.083 0.250 Pu
0.218 0.407 0.061 Pa
0.407 0.218 0.561 Pa
0.593 0.782 0.439 Pa
0.782 0.593 0.939 Pa
0.202 0.798 0.250 Rh
0.363 0.637 0.750 Rh
0.637 0.363 0.250 Rh
0.798 0.202 0.750 Rh
```


The least stable of them is B.


--- A ---
VASP calculation (GGA-PBE) on a relaxed structure of Pu5PaRh6.

Calculated values
As for the magnetization: 0.44 μB per atom. The calculated density comes out at 14.05 g cm⁻³.

Geometry as POSCAR:
```
Pu5PaRh6
1.0
2.350 -7.428 0.000
2.350 7.428 0.000
0.000 0.000 7.001
Pu Pa Rh
5 1 6
direct
0.000 0.000 0.000 Pu
0.315 0.685 0.500 Pu
0.324 0.676 0.000 Pu
0.676 0.324 0.000 Pu
0.685 0.315 0.500 Pu
0.000 0.000 0.500 Pa
0.144 0.856 0.257 Rh
0.144 0.856 0.743 Rh
0.500 0.500 0.273 Rh
0.500 0.500 0.727 Rh
0.856 0.144 0.257 Rh
0.856 0.144 0.743 Rh
```


--- B ---
VASP calculation (GGA-PBE) on a relaxed structure of Pu5PaRh6.

Calculated values
As for the magnetization: 0.48 μB per atom. The calculated density comes out at 14.13 g cm⁻³.

Geometry as POSCAR:
```
Pu5PaRh6
1.0
4.251 -7.216 0.000
4.251 7.216 0.000
-2.688 0.000 3.962
Pu Pa Rh
5 1 6
direct
0.000 0.000 0.000 Pu
0.158 0.842 0.500 Pu
0.311 0.689 0.000 Pu
0.689 0.311 0.000 Pu
0.842 0.158 0.500 Pu
0.500 0.500 0.500 Pa
0.122 0.433 0.278 Rh
0.285 0.285 0.785 Rh
0.433 0.122 0.278 Rh
0.567 0.878 0.722 Rh
0.715 0.715 0.215 Rh
0.878 0.567 0.722 Rh
```


The least stable of them is A.


--- A ---
VASP calculation (GGA-PBE) on a relaxed structure of PuPaRh.

Calculated values
As for the magnetization: 1.90 μB per atom. The calculated density comes out at 15.33 g cm⁻³.

Geometry as POSCAR:
```
PuPaRh
1.0
3.523 0.000 0.000
0.000 3.523 0.000
0.000 0.000 10.086
Pu Pa Rh
2 2 2
direct
0.000 0.000 0.000 Pu
0.500 0.500 0.500 Pu
0.000 0.000 0.323 Pa
0.500 0.500 0.823 Pa
0.000 0.000 0.677 Rh
0.500 0.500 0.177 Rh
```


--- B ---
VASP calculation (GGA-PBE) on a relaxed structure of PuPaRh.

Calculated values
As for the magnetization: 1.69 μB per atom. The calculated density comes out at 14.90 g cm⁻³.

Geometry as POSCAR:
```
PuPaRh
1.0
3.473 0.000 0.000
0.005 6.104 0.000
1.735 2.979 6.078
Pu Pa Rh
2 2 2
direct
0.036 0.257 0.430 Pu
0.964 0.743 0.570 Pu
0.297 0.778 0.905 Pa
0.703 0.222 0.095 Pa
0.371 0.305 0.760 Rh
0.629 0.695 0.240 Rh
```


The least stable of them is B.


--- A ---
VASP calculation (GGA-PBE) on a relaxed structure of PuPaRh.

Calculated values
As for the magnetization: 1.82 μB per atom. The calculated density comes out at 14.72 g cm⁻³.

Geometry as POSCAR:
```
PuPaRh
1.0
6.367 0.000 0.000
0.000 7.405 0.000
-0.887 0.000 5.533
Pu Pa Rh
4 4 4
direct
0.114 0.163 0.081 Pu
0.114 0.337 0.581 Pu
0.886 0.663 0.419 Pu
0.886 0.837 0.919 Pu
0.406 0.616 0.710 Pa
0.406 0.884 0.210 Pa
0.594 0.116 0.790 Pa
0.594 0.384 0.290 Pa
0.210 0.548 0.114 Rh
0.210 0.952 0.614 Rh
0.790 0.048 0.386 Rh
0.790 0.452 0.886 Rh
```


--- B ---
VASP calculation (GGA-PBE) on a relaxed structure of PuPaRh.

Calculated values
As for the magnetization: 2.34 μB per atom. The calculated density comes out at 12.64 g cm⁻³.

Geometry as POSCAR:
```
PuPaRh
1.0
6.721 0.000 0.000
0.000 6.721 0.000
0.000 0.000 6.721
Pu Pa Rh
4 4 4
direct
0.000 0.000 0.000 Pu
0.000 0.500 0.500 Pu
0.500 0.000 0.500 Pu
0.500 0.500 0.000 Pu
0.000 0.000 0.500 Pa
0.000 0.500 0.000 Pa
0.500 0.000 0.000 Pa
0.500 0.500 0.500 Pa
0.250 0.250 0.750 Rh
0.250 0.750 0.250 Rh
0.750 0.250 0.250 Rh
0.750 0.750 0.750 Rh
```


--- C ---
VASP calculation (GGA-PBE) on a relaxed structure of PuPaRh.

Calculated values
As for the magnetization: 1.78 μB per atom. The calculated density comes out at 15.52 g cm⁻³.

Geometry as POSCAR:
```
PuPaRh
1.0
4.703 0.000 0.000
-2.351 4.073 0.000
0.000 0.000 3.227
Pu Pa Rh
1 1 1
direct
0.000 0.000 0.000 Pu
0.333 0.667 0.303 Pa
0.667 0.333 0.628 Rh
```


The least stable of them is B.


--- A ---
VASP calculation (GGA-PBE) on a relaxed structure of Pu2PaRh2.

Calculated values
As for the magnetization: 2.31 μB per atom. The calculated density comes out at 14.63 g cm⁻³.

Geometry as POSCAR:
```
Pu2PaRh2
1.0
4.640 0.000 0.000
0.000 6.643 0.000
0.000 0.000 6.813
Pu Pa Rh
4 2 4
direct
0.000 0.000 0.212 Pu
0.000 0.000 0.788 Pu
0.500 0.500 0.288 Pu
0.500 0.500 0.712 Pu
0.000 0.500 0.000 Pa
0.500 0.000 0.500 Pa
0.000 0.300 0.500 Rh
0.000 0.700 0.500 Rh
0.500 0.200 0.000 Rh
0.500 0.800 0.000 Rh
```


--- B ---
VASP calculation (GGA-PBE) on a relaxed structure of Pu2PaRh2.

Calculated values
As for the magnetization: 2.30 μB per atom. The calculated density comes out at 13.32 g cm⁻³.

Geometry as POSCAR:
```
Pu2PaRh2
1.0
6.031 0.000 0.000
0.000 6.162 0.000
-1.790 0.000 6.205
Pu Pa Rh
4 2 4
direct
0.000 0.231 0.000 Pu
0.000 0.769 0.000 Pu
0.500 0.269 0.000 Pu
0.500 0.731 0.000 Pu
0.000 0.500 0.500 Pa
0.500 0.000 0.500 Pa
0.186 0.000 0.666 Rh
0.314 0.500 0.334 Rh
0.686 0.500 0.666 Rh
0.814 0.000 0.334 Rh
```


The least stable of them is B.